1.
The following is a DFT calculation (PBE) of LiPdN3 after structural relaxation.

Summary:
E_tot   -21.263 eV/cell

Structure (CIF):
```
data_LiPdN3
_cell_length_a 3.566
_cell_length_b 3.566
_cell_length_c 3.566
_cell_angle_alpha 90.00
_cell_angle_beta 90.00
_cell_angle_gamma 90.00
_space_group_name_H-M_alt 'P m -3 m'
_space_group_IT_number 221
_space_group_name_Hall '-P 4 2 3'
loop_
_atom_site_label
_atom_site_fract_x
_atom_site_fract_y
_atom_site_fract_z
Li1 0.000 0.000 0.000
Pd1 0.500 0.500 0.500
N1 0.000 0.000 0.500
```

***

2.
The following is a DFT calculation (PBE) of Tb2Pr2YEr after structural relaxation.

Summary:
ΔE_f   0.0611 eV per atom

Structure (CIF):
```
data_Tb2Pr2YEr
_cell_length_a 7.076
_cell_length_b 5.681
_cell_length_c 9.868
_cell_angle_alpha 90.00
_cell_angle_beta 90.00
_cell_angle_gamma 90.00
_space_group_name_H-M_alt 'P m m a'
_space_group_IT_number 51
loop_
_space_group_symop_operation_xyz
'x,y,z'
'-x,-y,-z'
'-x+1/2,-y,z'
'x+1/2,y,-z'
'x+1/2,-y,-z'
'-x+1/2,y,z'
'-x,y,-z'
'x,-y,z'
loop_
_atom_site_label
_atom_site_fract_x
_atom_site_fract_y
_atom_site_fract_z
Tb1 0.250 0.000 0.164
Tb2 0.250 0.500 0.667
Pr1 0.000 0.500 0.000
Pr2 0.250 0.000 0.825
Y1 0.000 0.000 0.500
Er1 0.250 0.500 0.340
```

***

| no. | M_tot (Bohr magnetons per cell) | calculated volume (A^3/atom) |
| --- | --- | --- |
| 1 | 0.000 | 9.07 |
| 2 | 0.000 | 33.06 |